[1]
DFT (PBE) results for CrCuSi2 after structural relaxation.

POSCAR file:
```
CrCuSi2
1.0
4.037 -1.327 0.000
4.037 1.327 0.000
-0.952 0.000 4.652
Cr Cu Si
1 1 2
direct
0.000 0.000 0.000
0.500 0.500 0.500
0.254 0.254 0.771
0.746 0.746 0.229
```

Values from the calculation:
energy relative to the elements, uncorrected: 60 meV/atom

[2]
DFT (PBE) results for RbMn3P after structural relaxation.

POSCAR file:
```
RbMn3P
1.0
4.888 0.000 0.000
0.000 4.888 0.000
0.000 0.000 4.888
Rb Mn P
1 3 1
direct
0.000 0.000 0.000
0.000 0.000 0.500
0.000 0.500 0.000
0.500 0.000 0.000
0.500 0.500 0.500
```

Values from the calculation:
excess energy over the best structure of this formula in the dataset: 1876 meV per atom

[3]
DFT (PBE) results for CeDy4S7 after structural relaxation.

POSCAR file:
```
CeDy4S7
1.0
6.503 -1.914 0.000
6.503 1.914 0.000
-2.945 0.000 11.313
Ce Dy S
1 4 7
direct
0.000 0.000 0.000
0.187 0.187 0.764
0.587 0.587 0.393
0.775 0.775 0.162
0.887 0.887 0.578
0.150 0.150 0.233
0.228 0.228 0.529
0.385 0.385 0.086
0.545 0.545 0.630
0.635 0.635 0.930
0.842 0.842 0.790
0.931 0.931 0.365
```

Values from the calculation:
energy relative to the elements, uncorrected: -2036 meV/atom

[4]
DFT (PBE) results for Ba6PdBr3N2 after structural relaxation.

POSCAR file:
```
Ba6PdBr3N2
1.0
3.739 -6.562 0.000
3.739 6.562 0.000
-2.480 0.000 8.000
Ba Pd Br N
6 1 3 2
direct
0.061 0.427 0.805
0.204 0.204 0.192
0.427 0.061 0.805
0.573 0.939 0.195
0.796 0.796 0.808
0.939 0.573 0.195
0.500 0.500 0.000
0.000 0.000 0.500
0.340 0.660 0.500
0.660 0.340 0.500
0.167 0.833 0.000
0.833 0.167 0.000
```

Values from the calculation:
energy relative to the elements, uncorrected: -1116 meV/atom

[5]
DFT (PBE) results for ThCdAgAu after structural relaxation.

POSCAR file:
```
ThCdAgAu
1.0
0.000 3.575 3.575
3.575 0.000 3.575
3.575 3.575 0.000
Th Cd Ag Au
1 1 1 1
direct
0.000 0.000 0.000
0.500 0.500 0.500
0.750 0.750 0.750
0.250 0.250 0.250
```

Values from the calculation:
DFT total energy: -15.97 eV for the cell shown

[6]
DFT (PBE) results for Fe2CuCl after structural relaxation.

POSCAR file:
```
Fe2CuCl
1.0
4.019 -1.484 0.000
4.019 1.484 0.000
-0.657 0.000 5.329
Fe Cu Cl
2 1 1
direct
0.237 0.237 0.173
0.763 0.763 0.827
0.500 0.500 0.000
0.000 0.000 0.500
```

Values from the calculation:
excess energy over the best structure of this formula in the dataset: 259 meV per atom
energy relative to the elements, uncorrected: 432 meV/atom